<one>
This record from the Alexandria database describes Ta2ZnSb after structural relaxation. The functional is PBE-GGA.

Cell: 3.983 4.710 7.811 Å, 90.00 90.00 90.00°
Space group Cmmm (No. 65)
Inequivalent atoms, fractional coordinates:
Ta  0.000  0.000  0.229
Zn  0.000  0.500  0.000
Sb  0.000  0.500  0.500

---

<two>
This record from the Alexandria database describes Ta2ZnSb after structural relaxation. The functional is PBE-GGA.

Cell: 5.849 8.935 2.981 Å, 90.00 108.48 90.00°
Space group C2/m (No. 12)
Inequivalent atoms, fractional coordinates:
Ta  0.250  0.250  0.000
Zn  0.000  0.000  0.500
Sb  0.000  0.500  0.500

---

<three>
This record from the Alexandria database describes Ta2ZnSb after structural relaxation. The functional is PBE-GGA.

Cell: 3.0506 3.0506 27.9426 Å, 90.00 90.00 120.00°
Space group R-3m (No. 166, hexagonal axes)
Inequivalent atoms, fractional coordinates:
Ta  0.0000  0.0000  0.2476
Zn  0.0000  0.0000  0.5000
Sb  0.0000  0.0000  0.0000

---

Stability, descending: <two>, <one>, <three>